{
  "formula": "Co2SbRh",
  "functional": "PBE",
  "state": "relaxed",
  "lattice": [[0.000, 3.052, 3.052], [3.052, 0.000, 3.052], [3.052, 3.052, 0.000]],
  "species": ["Co", "Co", "Sb", "Rh"],
  "fractional_positions": [[0.000, 0.000, 0.000], [0.250, 0.250, 0.250], [0.500, 0.500, 0.500], [0.750, 0.750, 0.750]],
  "m_tot_mub_per_atom": 0.831,
  "dos_at_fermi_per_ev_fu": 7.77,
  "space_group": "F-43m, No. 216",
  "crystal_system": "cubic",
  "density_g_cm3": 10.006,
  "raw_formation_energy_ev_per_atom": 0.06
}